Record 1
First-principles (PBE) data for Mn2HgCl after structural relaxation, as listed in Alexandria.

a b c (Å): 6.1574 6.1574 6.1574
angles (deg): 143.88 143.88 52.01
Positions (direct):
1 Mn 0.0000 0.0000 0.0000
2 Mn 0.7500 0.2500 0.5000
3 Hg 0.5000 0.5000 0.0000
4 Cl 0.2500 0.7500 0.5000

Values from the calculation:
E_form (uncorrected), meV per atom: 354

Record 2
First-principles (PBE) data for K2LaSi after structural relaxation, as listed in Alexandria.

a b c (Å): 7.1065 7.1065 7.1065
angles (deg): 141.76 141.76 55.20
Positions (direct):
1 K 0.2500 0.7500 0.5000
2 K 0.7500 0.2500 0.5000
3 La 0.0000 0.0000 0.0000
4 Si 0.5000 0.5000 0.0000

Values from the calculation:
E_form (uncorrected), meV per atom: 208

Record 3
First-principles (PBE) data for U2Be3Si4Os after structural relaxation, as listed in Alexandria.

a b c (Å): 3.9258 3.9258 9.5222
angles (deg): 90.00 90.00 90.00
Positions (direct):
1 U 0.0000 0.5000 0.2432
2 U 0.5000 0.0000 0.7568
3 Be 0.0000 0.5000 0.8747
4 Be 0.5000 0.0000 0.1253
5 Be 0.5000 0.5000 0.5000
6 Si 0.0000 0.0000 0.0000
7 Si 0.0000 0.5000 0.6427
8 Si 0.5000 0.0000 0.3573
9 Si 0.5000 0.5000 0.0000
10 Os 0.0000 0.0000 0.5000

Values from the calculation:
E_form (uncorrected), meV per atom: -261

Record 4
First-principles (PBE) data for MoHRhW2 after structural relaxation, as listed in Alexandria.

a b c (Å): 4.0460 4.0460 3.9278
angles (deg): 90.00 90.00 90.00
Positions (direct):
1 Mo 0.0000 0.0000 0.0000
2 H 0.5000 0.5000 0.5000
3 Rh 0.5000 0.5000 0.0000
4 W 0.0000 0.5000 0.5000
5 W 0.5000 0.0000 0.5000

Values from the calculation:
Raw total energy, eV per cell: -47.0

Record 5
First-principles (PBE) data for SiNiS after structural relaxation, as listed in Alexandria.

a b c (Å): 4.8132 4.8132 4.8132
angles (deg): 43.03 43.03 43.03
Positions (direct):
1 Si 0.0000 0.0000 0.0000
2 Ni 0.4165 0.4165 0.4165
3 S 0.8331 0.8331 0.8331

Values from the calculation:
E_form (uncorrected), meV per atom: -297

Record 6
First-principles (PBE) data for ErScCuRu after structural relaxation, as listed in Alexandria.

a b c (Å): 4.6961 4.6961 4.6961
angles (deg): 60.00 60.00 60.00
Positions (direct):
1 Er 0.0000 0.0000 0.0000
2 Sc 0.5000 0.5000 0.5000
3 Cu 0.7500 0.7500 0.7500
4 Ru 0.2500 0.2500 0.2500

Values from the calculation:
Energy of formation, kJ/mol of atoms: -39

Record 7
First-principles (PBE) data for Mn2FeRe after structural relaxation, as listed in Alexandria.

a b c (Å): 4.4303 4.4303 4.4303
angles (deg): 130.75 130.75 72.21
Positions (direct):
1 Mn 0.2500 0.7500 0.5000
2 Mn 0.7500 0.2500 0.5000
3 Fe 0.0000 0.0000 0.0000
4 Re 0.5000 0.5000 0.0000

Values from the calculation:
Energy of formation, kJ/mol of atoms: 4

Record 8
First-principles (PBE) data for AlCo3Tc after structural relaxation, as listed in Alexandria.

a b c (Å): 4.1637 4.1637 4.1637
angles (deg): 90.00 90.00 90.00
Positions (direct):
1 Al 0.0000 0.0000 0.0000
2 Co 0.0000 0.0000 0.5000
3 Co 0.0000 0.5000 0.0000
4 Co 0.5000 0.0000 0.0000
5 Tc 0.5000 0.5000 0.5000

Values from the calculation:
Energy of formation, kJ/mol of atoms: 109